# TaTiMn2, relaxed, DFT PBE
# - energy of formation from the pure elements (meV/atom) = -265
data_TaTiMn2
_chemical_formula_sum 'Ta1 Ti1 Mn2'
_cell_length_a 4.272
_cell_length_b 4.272
_cell_length_c 3.025
_cell_angle_alpha 90.00
_cell_angle_beta 90.00
_cell_angle_gamma 90.00
_symmetry_space_group_name_H-M 'P 1'
_symmetry_Int_Tables_number 1
_symmetry_space_group_name_Hall 'P 1'
loop_
_atom_site_label
_atom_site_fract_x
_atom_site_fract_y
_atom_site_fract_z
Ta1 0.000 0.000 0.000
Ti1 0.500 0.500 0.000
Mn1 0.000 0.500 0.500
Mn2 0.500 0.000 0.500


# Tc2PtSe, relaxed, DFT PBE
# - calculated total energy (eV per atom) = -6.867
data_Tc2PtSe
_chemical_formula_sum 'Tc4 Pt2 Se2'
_cell_length_a 6.851
_cell_length_b 6.851
_cell_length_c 6.851
_cell_angle_alpha 131.91
_cell_angle_beta 131.91
_cell_angle_gamma 70.37
_symmetry_space_group_name_H-M 'P 1'
_symmetry_Int_Tables_number 1
_symmetry_space_group_name_Hall 'P 1'
loop_
_atom_site_label
_atom_site_fract_x
_atom_site_fract_y
_atom_site_fract_z
Tc1 0.118 0.625 0.993
Tc2 0.375 0.368 0.493
Tc3 0.632 0.125 0.007
Tc4 0.875 0.882 0.507
Pt1 0.250 0.750 0.500
Pt2 0.500 0.500 0.000
Se1 0.000 0.000 0.000
Se2 0.750 0.250 0.500


# TaZn2Te, relaxed, DFT PBE
# - calculated total energy (eV per atom) = -4.208
data_TaZn2Te
_chemical_formula_sum 'Ta1 Zn2 Te1'
_cell_length_a 8.521
_cell_length_b 8.521
_cell_length_c 8.521
_cell_angle_alpha 22.75
_cell_angle_beta 22.75
_cell_angle_gamma 22.75
_symmetry_space_group_name_H-M 'P 1'
_symmetry_Int_Tables_number 1
_symmetry_space_group_name_Hall 'P 1'
loop_
_atom_site_label
_atom_site_fract_x
_atom_site_fract_y
_atom_site_fract_z
Ta1 0.000 0.000 0.000
Zn1 0.251 0.251 0.251
Zn2 0.511 0.511 0.511
Te1 0.745 0.745 0.745


# TaSe2N2, relaxed, DFT PBE
# - calculated total energy (eV per atom) = -5.430
data_TaSe2N2
_chemical_formula_sum 'Ta1 Se2 N2'
_cell_length_a 3.862
_cell_length_b 3.862
_cell_length_c 4.886
_cell_angle_alpha 90.00
_cell_angle_beta 90.00
_cell_angle_gamma 90.00
_symmetry_space_group_name_H-M 'P 1'
_symmetry_Int_Tables_number 1
_symmetry_space_group_name_Hall 'P 1'
loop_
_atom_site_label
_atom_site_fract_x
_atom_site_fract_y
_atom_site_fract_z
Ta1 0.000 0.000 0.000
Se1 0.500 0.500 0.000
Se2 0.500 0.500 0.500
N1 0.000 0.500 0.500
N2 0.500 0.000 0.500